## Co3Re2 (PBE)

Data for a relaxed Co3Re2 crystal.

POSCAR file:
```
Co3Re2
1.0
4.033 0.000 0.000
-2.017 3.493 0.000
0.000 0.000 5.029
Co Re
3 2
direct
0.000 0.000 0.000
0.333 0.667 0.372
0.667 0.333 0.628
0.333 0.667 0.850
0.667 0.333 0.150
```

Calculated values
space-group type = P-3m1, No. 164
final energy = -0.6390 Ry/atom
ρ = 12873 kg/m³
calculated formation energy = 2.74 eV per formula unit
size of the total moment = 3.61 Bohr magnetons per cell